Record 1
## LiIrCl (GGA-PBE)

Data for a relaxed LiIrCl crystal.

Values from the calculation:
Offset from the most stable computed form, meV per atom: 147
Formation energy from raw total energies, kcal/mol of atoms: 3.454

a = 6.706 Å, b = 6.352 Å, c = 2.956 Å
α = 83.71°, β = 70.31°, γ = 25.98°
Sites, in units of the cell vectors:
Cl 0.009 0.009 0.991
Ir 0.334 0.334 0.666
Li 0.657 0.657 0.343

***

Record 2
## BePtCl2 (GGA-PBE)

Data for a relaxed BePtCl2 crystal.

Values from the calculation:
Offset from the most stable computed form, meV per atom: 1142
Formation energy from raw total energies, kcal/mol of atoms: 16.294

a = 4.258 Å, b = 4.258 Å, c = 3.661 Å
α = 90.00°, β = 90.00°, γ = 89.68°
Sites, in units of the cell vectors:
Be 0.000 0.500 0.500
Pt 0.500 0.000 0.500
Cl 0.000 0.000 0.000
Cl 0.500 0.500 0.000

***

Record 3
## YCu2Te (GGA-PBE)

Data for a relaxed YCu2Te crystal.

Values from the calculation:
Formation energy from raw total energies, kcal/mol of atoms: -6.394

a = 5.909 Å, b = 5.909 Å, c = 5.909 Å
α = 140.25°, β = 140.34°, γ = 57.41°
Sites, in units of the cell vectors:
Cu 0.957 0.957 0.000
Cu 0.813 0.313 0.500
Te 0.496 0.496 0.000
Y 0.235 0.735 0.500

***

Record 4
## SrCoIr3 (GGA-PBE)

Data for a relaxed SrCoIr3 crystal.

Values from the calculation:
Formation enthalpy at 0 K, eV/atom: 0.828

a = 4.599 Å, b = 4.599 Å, c = 4.599 Å
α = 90.00°, β = 90.00°, γ = 90.00°
Sites, in units of the cell vectors:
Sr 0.500 0.500 0.500
Ir 0.000 0.500 0.000
Ir 0.000 0.000 0.500
Ir 0.500 0.000 0.000
Co 0.000 0.000 0.000

***

Record 5
## BaZn2AgAu2 (GGA-PBE)

Data for a relaxed BaZn2AgAu2 crystal.

Values from the calculation:
Formation enthalpy at 0 K, eV/atom: -0.402

a = 4.596 Å, b = 4.596 Å, c = 7.469 Å
α = 90.00°, β = 90.00°, γ = 120.00°
Sites, in units of the cell vectors:
Ba 0.000 0.000 0.000
Zn 0.667 0.333 0.665
Zn 0.333 0.667 0.335
Ag 0.000 0.000 0.500
Au 0.667 0.333 0.299
Au 0.333 0.667 0.701

***

Record 6
## K3Cd2Pb3 (GGA-PBE)

Data for a relaxed K3Cd2Pb3 crystal.

Values from the calculation:
Formation enthalpy at 0 K, eV/atom: -0.081

a = 5.618 Å, b = 6.417 Å, c = 17.369 Å
α = 90.00°, β = 90.00°, γ = 115.96°
Sites, in units of the cell vectors:
K 0.661 0.323 0.036
K 0.339 0.677 0.536
K 0.661 0.323 0.464
K 0.339 0.677 0.964
K 0.512 0.024 0.250
K 0.488 0.976 0.750
Cd 0.780 0.560 0.666
Cd 0.220 0.440 0.166
Cd 0.780 0.560 0.834
Cd 0.220 0.440 0.334
Pb 0.977 0.955 0.094
Pb 0.023 0.045 0.594
Pb 0.977 0.955 0.406
Pb 0.023 0.045 0.906
Pb 0.818 0.636 0.250
Pb 0.182 0.364 0.750

***

Record 7
## Na2NpTl3Se6 (GGA-PBE)

Data for a relaxed Na2NpTl3Se6 crystal.

Values from the calculation:
Formation energy from raw total energies, kcal/mol of atoms: -16.413

a = 7.383 Å, b = 7.383 Å, c = 7.776 Å
α = 98.87°, β = 98.87°, γ = 119.66°
Sites, in units of the cell vectors:
Na 0.335 0.665 0.000
Na 0.665 0.335 0.000
Np 0.000 0.000 0.000
Tl 0.167 0.833 0.500
Tl 0.833 0.167 0.500
Tl 0.500 0.500 0.500
Se 0.930 0.638 0.793
Se 0.780 0.780 0.219
Se 0.070 0.362 0.207
Se 0.638 0.930 0.793
Se 0.220 0.220 0.781
Se 0.362 0.070 0.207

***

Record 8
## Th3Cd5 (GGA-PBE)

Data for a relaxed Th3Cd5 crystal.

Values from the calculation:
Formation enthalpy at 0 K, eV/atom: -0.046

a = 5.346 Å, b = 6.641 Å, c = 6.641 Å
α = 111.72°, β = 90.00°, γ = 90.00°
Sites, in units of the cell vectors:
Th 0.000 0.500 0.500
Th 0.500 0.773 0.227
Th 0.500 0.227 0.773
Cd 0.000 0.000 0.000
Cd 0.000 0.500 0.000
Cd 0.000 0.000 0.500
Cd 0.500 0.733 0.733
Cd 0.500 0.267 0.267